Here is a crystal of MnMoPb3 relaxed with PBEsol from Alexandria. Energies are from meta-GGA SCAN.

Cell: 5.096 5.096 5.096 Å, 90.00 90.00 90.00°
Positions (direct):
Mn 0.000 0.000 0.000
Mo 0.500 0.500 0.500
Pb 0.000 0.000 0.500
Pb 0.000 0.500 0.000
Pb 0.500 0.000 0.000

Summary:
Fermi-level density of states = 0.51 states/eV/atom
Space-group type = Pm-3m
Electronic total energy = -276.3 eV per cell
Calculated formation energy = 845 meV per atom


Here is a crystal of MnMo2RuPb relaxed with PBEsol from Alexandria. Energies are from meta-GGA SCAN.

Cell: 4.344 4.344 4.751 Å, 90.00 90.00 90.00°
Positions (direct):
Mn 0.000 0.000 0.000
Mo 0.000 0.500 0.000
Mo 0.500 0.000 0.000
Ru 0.500 0.500 0.500
Pb 0.000 0.000 0.500

Summary:
Fermi-level density of states = 1.27 states/eV/atom
Space-group type = P4/mmm
Electronic total energy = -191.0 eV per cell
Calculated formation energy = 1520 meV per atom


Here is a crystal of MnMo2Pd relaxed with PBEsol from Alexandria. Energies are from meta-GGA SCAN.

Cell: 6.090 6.090 6.090 Å, 90.00 90.00 90.00°
Positions (direct):
Mn 0.000 0.000 0.000
Mn 0.000 0.500 0.500
Mn 0.500 0.000 0.500
Mn 0.500 0.500 0.000
Mo 0.250 0.250 0.250
Mo 0.250 0.250 0.750
Mo 0.250 0.750 0.250
Mo 0.250 0.750 0.750
Mo 0.750 0.250 0.250
Mo 0.750 0.250 0.750
Mo 0.750 0.750 0.250
Mo 0.750 0.750 0.750
Pd 0.000 0.000 0.500
Pd 0.000 0.500 0.000
Pd 0.500 0.000 0.000
Pd 0.500 0.500 0.500

Summary:
Fermi-level density of states = 1.10 states/eV/atom
Space-group type = Fm-3m
Electronic total energy = -476.6 eV per cell
Calculated formation energy = 410 meV per atom


Here is a crystal of MnMoPt2 relaxed with PBEsol from Alexandria. Energies are from meta-GGA SCAN.

Cell: 2.719 3.913 5.365 Å, 90.00 90.00 90.00°
Positions (direct):
Mn 0.000 0.000 0.000
Mo 0.000 0.000 0.500
Pt 0.500 0.500 0.249
Pt 0.500 0.500 0.751

Summary:
Energy above the most stable polymorph in this dataset = 0.0 meV per atom
Fermi-level density of states = 0.55 states/eV/atom
Space-group type = Pmmm
Electronic total energy = -195.7 eV per cell
Calculated formation energy = -545 meV per atom


Here is a crystal of MnMoPt2 relaxed with PBEsol from Alexandria. Energies are from meta-GGA SCAN.

Cell: 3.802 3.802 7.855 Å, 90.00 90.00 90.00°
Positions (direct):
Mn 0.000 0.000 0.000
Mn 0.500 0.500 0.500
Mo 0.000 0.000 0.500
Mo 0.500 0.500 0.000
Pt 0.000 0.500 0.250
Pt 0.000 0.500 0.750
Pt 0.500 0.000 0.250
Pt 0.500 0.000 0.750

Summary:
Energy above the most stable polymorph in this dataset = 4.3 meV per atom
Fermi-level density of states = 0.47 states/eV/atom
Space-group type = I4/mmm
Electronic total energy = -391.4 eV per cell
Calculated formation energy = -540 meV per atom


Here is a crystal of MnMoPt2 relaxed with PBEsol from Alexandria. Energies are from meta-GGA SCAN.

Cell: 3.798 3.798 3.935 Å, 90.00 90.00 90.00°
Positions (direct):
Mn 0.000 0.000 0.000
Mo 0.500 0.500 0.000
Pt 0.000 0.500 0.500
Pt 0.500 0.000 0.500

Summary:
Energy above the most stable polymorph in this dataset = 65.3 meV per atom
Fermi-level density of states = 0.35 states/eV/atom
Space-group type = P4/mmm
Electronic total energy = -195.4 eV per cell
Calculated formation energy = -479 meV per atom